# YFe2Br, relaxed, DFT GGA-PBEsol
data_YFe2Br
_chemical_formula_sum 'Y1 Fe2 Br1'
_cell_length_a 3.431
_cell_length_b 4.261
_cell_length_c 4.958
_cell_angle_alpha 90.00
_cell_angle_beta 90.00
_cell_angle_gamma 90.00
_symmetry_space_group_name_H-M 'P m m m'
_symmetry_Int_Tables_number 47
_symmetry_space_group_name_Hall '-P 2 2'
loop_
_atom_site_label
_atom_site_fract_x
_atom_site_fract_y
_atom_site_fract_z
_atom_site_occupancy
Y1 0.000 0.000 0.000 1
Fe1 0.500 0.500 0.224 1
Br1 0.500 0.000 0.500 1
# D(E_F): 3.28 states/eV per cell
# Formation energy without anion corrections: 146 meV per atom
# Energy above the most stable polymorph in this dataset: 0 meV/atom